No. 1
## La2PrSc (GGA-PBE)

Data for crystalline La2PrSc at its relaxed geometry.

Lattice parameters (Å, degrees): 7.212 10.216 7.202 90.00 90.00 90.00
Atoms (fractional coordinates):
La: 0.000 0.000 0.000
La: 0.000 0.500 0.000
La: 0.250 0.250 0.250
La: 0.250 0.750 0.750
La: 0.500 0.000 0.500
La: 0.500 0.500 0.500
La: 0.750 0.250 0.250
La: 0.750 0.750 0.750
Pr: 0.250 0.250 0.750
Pr: 0.250 0.750 0.250
Pr: 0.750 0.250 0.750
Pr: 0.750 0.750 0.250
Sc: 0.000 0.000 0.500
Sc: 0.000 0.500 0.500
Sc: 0.500 0.000 0.000
Sc: 0.500 0.500 0.000

total magnetic moment: 0.00 μB/f.u.
space group: Imma (74)
ρ: 5804 kg/m3
energy of formation: 39 meV per atom
relative energy among the computed polymorphs: 0.002 eV per atom

***

No. 2
## ZnNiPtCl2 (GGA-PBE)

Data for crystalline ZnNiPtCl2 at its relaxed geometry.

Lattice parameters (Å, degrees): 4.864 4.864 5.004 90.00 90.00 90.00
Atoms (fractional coordinates):
Zn: 0.000 0.000 0.000
Ni: 0.500 0.500 0.000
Pt: 0.000 0.000 0.500
Cl: 0.000 0.500 0.500
Cl: 0.500 0.000 0.500

total magnetic moment: 0.98 μB/f.u.
space group: P4/mmm (123)
E_form (uncorrected): 2.973 eV per formula unit
ρ: 5472 kg/m3

***

Number 1: Fermi-level density of states 24.030 states/eV/cell. Number 2: Fermi-level density of states 9.046 states/eV/cell.